# CsY3Te GGA-PBE optimized geometry
# - magnetic moment (Bohr magnetons per cell) = 0.0
# - V (Å³ per cell) = 179.3
# - density (g cm⁻³) = 4.88
# - distance to the lowest polymorph of the same formula (meV/atom) = 967.4
# - formation energy from raw total energies (kcal/mol of atoms) = 26.2
# - DOS(E_F) (states/eV per atom) = 1.170
# - DFT total energy (eV for the cell shown) = -17.71
data_CsY3Te
_chemical_formula_sum 'Cs1 Y3 Te1'
_cell_length_a 5.639
_cell_length_b 5.639
_cell_length_c 5.639
_cell_angle_alpha 90.00
_cell_angle_beta 90.00
_cell_angle_gamma 90.00
_space_group_name_H-M_alt 'P m -3 m'
_space_group_IT_number 221
_space_group_name_Hall '-P 4 2 3'
loop_
_atom_site_label
_atom_site_type_symbol
_atom_site_fract_x
_atom_site_fract_y
_atom_site_fract_z
Cs1 Cs 0.000 0.000 0.000
Y1 Y 0.000 0.000 0.500
Te1 Te 0.500 0.500 0.500